DFT (PBE) results for an optimized crystal structure of NaO.

Structure (CIF):
```
data_NaO
_chemical_formula_sum 'Na8 O8'
_space_group_name_H-M_alt 'P 1'
_space_group_IT_number 1
_cell_length_a 8.126
_cell_length_b 8.126
_cell_length_c 3.675
_cell_angle_alpha 90.00
_cell_angle_beta 90.00
_cell_angle_gamma 90.00
loop_
_space_group_symop_operation_xyz
'x,y,z'
loop_
_atom_site_label
_atom_site_type_symbol
_atom_site_fract_x
_atom_site_fract_y
_atom_site_fract_z
Na1 Na 0.255 0.000 0.500
Na2 Na 0.000 0.745 0.500
Na3 Na 0.745 0.000 0.500
Na4 Na 0.245 0.500 0.000
Na5 Na 0.500 0.245 0.000
Na6 Na 0.000 0.255 0.500
Na7 Na 0.755 0.500 0.000
Na8 Na 0.500 0.755 0.000
O1 O 0.222 0.222 0.000
O2 O 0.222 0.778 0.000
O3 O 0.278 0.722 0.500
O4 O 0.278 0.278 0.500
O5 O 0.778 0.778 0.000
O6 O 0.722 0.278 0.500
O7 O 0.778 0.222 0.000
O8 O 0.722 0.722 0.500
```

Calculated values
E_form (uncorrected) ... -15.391 kcal/mol of atoms
M_tot ... 0.0 μB/cell